First-principles (PBE-GGA) data for a relaxed structure of SrAc2PtO5, as listed in Alexandria via LeMat-Bulk.

a b c (Å): 7.0816 7.0816 8.0539
angles (deg): 116.08 116.08 90.00
Each line ends with the local moment (μB).
Atoms (fractional coordinates):
Sr 0.2500 0.2500 0.5000  0.00
Sr 0.7500 0.7500 0.5000  0.00
Ac 0.1744 0.3256 0.0000  0.03
Ac 0.6744 0.1744 0.0000  0.03
Ac 0.3256 0.8256 0.0000  0.03
Ac 0.8256 0.6744 0.0000  0.03
Pt 0.2500 0.7500 0.5000  1.04
Pt 0.7500 0.2500 0.5000  1.04
O 0.9839 0.4839 0.2455  0.17
O 0.7384 0.2384 0.7545  0.17
O 0.0161 0.5161 0.7545  0.17
O 0.2384 0.0161 0.7545  0.17
O 0.5161 0.7384 0.7545  0.17
O 0.7616 0.9839 0.2455  0.17
O 0.4839 0.2616 0.2455  0.17
O 0.2616 0.7616 0.2455  0.17
O 0.5000 0.5000 0.0000  0.02
O 0.0000 0.0000 0.0000  0.02

Output
**Energy relative to the elements, uncorrected**: -2237 meV per atom
**Crystal system**: tetragonal


First-principles (PBE-GGA) data for a relaxed structure of Ba4Eu2F, as listed in Alexandria via LeMat-Bulk.

a b c (Å): 5.6456 5.6456 11.3304
angles (deg): 104.43 104.43 90.00
Each line ends with the local moment (μB).
Atoms (fractional coordinates):
Eu 0.6554 0.6554 0.3109  7.00
Eu 0.3446 0.3446 0.6891  7.00
Ba 0.8421 0.8421 0.6843  0.10
Ba 0.1579 0.1579 0.3157  0.10
Ba 0.0000 0.5000 0.0000  0.09
Ba 0.5000 0.0000 0.0000  0.09
F 0.0000 0.0000 0.0000  0.01

Output
**Fermi-level density of states**: 8.3 states/eV/f.u.
**Energy relative to the elements, uncorrected**: -585 meV per atom
**Crystal system**: tetragonal


First-principles (PBE-GGA) data for a relaxed structure of Hg2SbOs, as listed in Alexandria via LeMat-Bulk.

a b c (Å): 4.6001 6.1653 3.3951
angles (deg): 72.27 94.49 113.24
Atoms (fractional coordinates):
Hg 0.0000 0.0000 0.0000
Hg 0.5000 0.0000 0.5000
Os 0.0000 0.5000 0.5000
Sb 0.5000 0.5000 0.0000

Output
**Fermi-level density of states**: 3.2 states/eV/f.u.
**Energy relative to the elements, uncorrected**: 732 meV per atom
**Crystal system**: monoclinic


First-principles (PBE-GGA) data for a relaxed structure of MgH4Ir3, as listed in Alexandria via LeMat-Bulk.

a b c (Å): 6.6091 2.8099 4.7514
angles (deg): 72.87 97.15 77.73
Atoms (fractional coordinates):
Mg 0.7429 0.9548 0.3761
H 0.9641 0.4101 0.2414
H 0.0252 0.6642 0.6759
H 0.1216 0.9927 0.9301
H 0.6960 0.7484 0.8316
Ir 0.5165 0.3681 0.7741
Ir 0.1478 0.1654 0.5496
Ir 0.3669 0.7381 0.1847

Output
**Fermi-level density of states**: 1.6 states/eV/f.u.
**Crystal system**: triclinic


First-principles (PBE-GGA) data for a relaxed structure of Li3GaNi2, as listed in Alexandria via LeMat-Bulk.

a b c (Å): 4.5080 4.5081 4.3130
angles (deg): 90.00 90.00 120.00
Atoms (fractional coordinates):
Li 0.5000 0.5000 0.5000
Li 0.0000 0.5000 0.5000
Li 0.5000 0.0000 0.5000
Ga 0.0000 0.0000 0.0000
Ni 0.6667 0.3333 0.0000
Ni 0.3333 0.6667 0.0000

Output
**Fermi-level density of states**: 2.8 states/eV/f.u.
**Crystal system**: hexagonal
**Energy of formation from the pure elements**: -0.024 eV/atom
**ΔE to the lowest computed polymorph**: 0.72 eV/f.u.


First-principles (PBE-GGA) data for a relaxed structure of Ce3CrNi2Ge6, as listed in Alexandria via LeMat-Bulk.

a b c (Å): 6.0688 6.0688 7.4652
angles (deg): 90.00 90.00 120.00
Each line ends with the local moment (μB).
Atoms (fractional coordinates):
Ce 0.3333 0.6667 0.6691  -0.18
Ce 0.6667 0.3333 0.3309  -0.18
Ce 0.0000 0.0000 0.0000  0.56
Cr 0.0000 0.0000 0.5000  2.20
Ni 0.6667 0.3333 0.9539  0.07
Ni 0.3333 0.6667 0.0461  0.07
Ge 0.6218 0.8109 0.3011  -0.02
Ge 0.1891 0.3782 0.3011  -0.02
Ge 0.1891 0.8109 0.3011  -0.02
Ge 0.8109 0.6218 0.6989  -0.02
Ge 0.3782 0.1891 0.6989  -0.02
Ge 0.8109 0.1891 0.6989  -0.02

Output
**Fermi-level density of states**: 16.1 states/eV/f.u.
**Crystal system**: trigonal
**Energy of formation from the pure elements**: -0.289 eV/atom


First-principles (PBE-GGA) data for a relaxed structure of KNbP2O, as listed in Alexandria via LeMat-Bulk.

a b c (Å): 4.3202 4.5213 4.3202
angles (deg): 90.00 90.00 90.00
Each line ends with the local moment (μB).
Atoms (fractional coordinates):
P 0.0000 0.0000 0.5000  -0.07
P 0.5000 0.0000 0.0000  -0.07
Nb 0.5000 0.5000 0.5000  2.10
K 0.0000 0.5000 0.0000  0.06
O 0.0000 0.0000 0.0000  0.00

Output
**Fermi-level density of states**: 2.4 states/eV/f.u.
**Energy relative to the elements, uncorrected**: 493 meV per atom
**Crystal system**: tetragonal
**ΔE to the lowest computed polymorph**: 5.44 eV/f.u.


First-principles (PBE-GGA) data for a relaxed structure of CsHg4H12, as listed in Alexandria via LeMat-Bulk.

a b c (Å): 7.6855 7.6855 7.6855
angles (deg): 109.47 109.47 109.47
Atoms (fractional coordinates):
Cs 0.0000 0.0000 0.0000
Hg 0.0000 0.5000 0.0000
Hg 0.0000 0.0000 0.5000
Hg 0.5000 0.0000 0.0000
Hg 0.5000 0.5000 0.5000
H 0.6937 0.1511 0.5426
H 0.8489 0.4574 0.3063
H 0.4574 0.6085 0.1511
H 0.1511 0.4574 0.6085
H 0.5426 0.3915 0.8489
H 0.1511 0.5426 0.6937
H 0.5426 0.6937 0.1511
H 0.4574 0.3063 0.8489
H 0.8489 0.5426 0.3915
H 0.6085 0.1511 0.4574
H 0.3915 0.8489 0.5426
H 0.3063 0.8489 0.4574

Output
**Fermi-level density of states**: 4.1 states/eV/f.u.
**Crystal system**: cubic


First-principles (PBE-GGA) data for a relaxed structure of HfTi5Tl2, as listed in Alexandria via LeMat-Bulk.

a b c (Å): 4.5402 6.2954 6.2954
angles (deg): 90.00 90.00 90.00
Each line ends with the local moment (μB).
Atoms (fractional coordinates):
Hf 0.0000 0.0000 0.0000  0.06
Ti 0.0000 0.7074 0.7074  0.88
Ti 0.0000 0.2926 0.7074  0.88
Ti 0.0000 0.7074 0.2926  0.88
Ti 0.5000 0.0000 0.0000  0.29
Ti 0.0000 0.2926 0.2926  0.88
Tl 0.5000 0.5000 0.0000  -0.01
Tl 0.5000 0.0000 0.5000  -0.01

Output
**Fermi-level density of states**: 10.4 states/eV/f.u.
**Crystal system**: tetragonal
**Energy of formation from the pure elements**: 0.890 eV/atom
**ΔE to the lowest computed polymorph**: 6.00 eV/f.u.


First-principles (PBE-GGA) data for a relaxed structure of SiAg2Ru, as listed in Alexandria via LeMat-Bulk.

a b c (Å): 3.0252 3.0252 6.9472
angles (deg): 90.00 90.00 90.00
Atoms (fractional coordinates):
Ag 0.0000 0.0000 0.9783
Ag 0.5000 0.5000 0.2625
Ru 0.0000 0.0000 0.5536
Si 0.5000 0.5000 0.7056

Output
**Fermi-level density of states**: 1.8 states/eV/f.u.
**Energy relative to the elements, uncorrected**: -14 meV per atom
**Crystal system**: tetragonal


First-principles (PBE-GGA) data for a relaxed structure of Ti2ZnMoH, as listed in Alexandria via LeMat-Bulk.

a b c (Å): 4.2495 4.2495 3.5503
angles (deg): 90.00 90.00 90.00
Atoms (fractional coordinates):
H 0.0000 0.0000 0.0000
Mo 0.5000 0.5000 0.5000
Zn 0.0000 0.0000 0.5000
Ti 0.0000 0.5000 0.0000
Ti 0.5000 0.0000 0.0000

Output
**Fermi-level density of states**: 3.1 states/eV/f.u.
**Crystal system**: tetragonal
**ΔE to the lowest computed polymorph**: 0.33 eV/f.u.


First-principles (PBE-GGA) data for a relaxed structure of Te2IrSe, as listed in Alexandria via LeMat-Bulk.

a b c (Å): 6.5209 6.5209 5.2992
angles (deg): 66.21 66.21 32.96
Atoms (fractional coordinates):
Ir 0.4994 0.4994 0.3985
Se 0.1432 0.1432 0.3637
Te 0.0089 0.0089 0.0244
Te 0.8484 0.8484 0.7135

Output
**Fermi-level density of states**: 1.0 states/eV/f.u.
**Energy relative to the elements, uncorrected**: 7 meV per atom
**Crystal system**: monoclinic


| no. | spin magnetization (μB/f.u.) | VASP energy (eV/atom) |
| --- | --- | --- |
| 1 | 2.00 | -6.76 |
| 2 | 16.08 | -4.89 |
| 3 | 0.00 | -3.26 |
| 4 | 0.00 | -5.23 |
| 5 | 0.00 | -3.41 |
| 6 | 2.46 | -5.85 |
| 7 | 2.43 | -4.90 |
| 8 | 0.00 | -2.47 |
| 9 | 4.63 | -5.88 |
| 10 | 0.00 | -5.11 |
| 11 | 0.00 | -6.38 |
| 12 | 0.00 | -4.65 |